First-principles (PBE) data for a relaxed structure of Co4CuPt5, as listed in Alexandria via LeMat-Bulk.

## Properties
- Space-group type: P4/mmm, No. 123
- Energy of formation from the pure elements: -101 meV per atom
- Volume: 136.3 Å³ per cell
- D(E_F): 12.1 states/eV per cell
- VASP energy: -63.74 eV for the cell shown

a = 2.7243 Å, b = 2.7243 Å, c = 18.3635 Å
α = 90.00°, β = 90.00°, γ = 90.00°
Last column: nearest neighbours and their distance in Å.
Fractional positions:
Co1 0.0000 0.0000 0.3994  8 Pt 2.65-2.67, 4 Co 2.72
Co2 0.0000 0.0000 0.7999  8 Pt 2.63-2.66, 4 Co 2.72
Co3 0.0000 0.0000 0.2001  8 Pt 2.63-2.66, 4 Co 2.72
Co4 0.0000 0.0000 0.6006  8 Pt 2.65-2.67, 4 Co 2.72
Pt1 0.5000 0.5000 0.1027  4 Co 2.63, 4 Cu 2.70, 4 Pt 2.72
Pt2 0.5000 0.5000 0.8973  4 Co 2.63, 4 Cu 2.70, 4 Pt 2.72
Pt3 0.5000 0.5000 0.6997  8 Co 2.65-2.66, 4 Pt 2.72
Pt4 0.5000 0.5000 0.5000  8 Co 2.67, 4 Pt 2.72
Pt5 0.5000 0.5000 0.3003  8 Co 2.65-2.66, 4 Pt 2.72
Cu1 0.0000 0.0000 0.0000  8 Pt 2.70, 4 Cu 2.72